[1]
VASP calculation (PBE) on a relaxed Li2Y2Rh3 crystal.

a b c (Å): 3.357 3.268 11.631
angles (deg): 90.00 81.70 90.00
Element x y z (fractional)
Li (0.709, 0.500, 0.583)
Rh (0.000, 0.000, 0.000)
Y (0.421, 0.500, 0.158)
Y (0.579, 0.500, 0.842)
Rh (0.847, 0.000, 0.306)
Rh (0.153, 0.000, 0.694)
Li (0.291, 0.500, 0.417)

Output
ΔE_f	-3.30	eV per formula unit
density	6.58	Mg/m³


[2]
VASP calculation (PBE) on a relaxed LiY2Rh2 crystal.

a b c (Å): 8.063 8.063 3.288
angles (deg): 90.00 90.00 90.00
Element x y z (fractional)
Li (0.500, 0.500, 0.000)
Y (0.350, 0.850, 0.000)
Li (0.000, 0.000, 0.000)
Rh (0.646, 0.854, 0.500)
Rh (0.146, 0.646, 0.500)
Y (0.150, 0.350, 0.000)
Rh (0.854, 0.354, 0.500)
Y (0.650, 0.150, 0.000)
Rh (0.354, 0.146, 0.500)
Y (0.850, 0.650, 0.000)

Output
ΔE_f	-2.25	eV per formula unit
density	6.07	Mg/m³


[3]
VASP calculation (PBE) on a relaxed LiY2ZnRh2 crystal.

a b c (Å): 5.575 5.654 8.305
angles (deg): 109.90 109.61 90.00
Element x y z (fractional)
Zn (0.500, 0.250, 0.000)
Y (0.576, 0.829, 0.657)
Rh (0.376, 0.624, 0.249)
Y (0.919, 0.671, 0.343)
Y (0.081, 0.329, 0.657)
Rh (0.873, 0.124, 0.249)
Zn (0.500, 0.750, 0.000)
Rh (0.127, 0.876, 0.751)
Li (0.000, 0.750, 0.000)
Y (0.424, 0.171, 0.343)
Li (0.000, 0.250, 0.000)
Rh (0.624, 0.376, 0.751)

Output
ΔE_f	-3.74	eV per formula unit
density	6.59	Mg/m³


[4]
VASP calculation (PBE) on a relaxed LiYb2Rh crystal.

a b c (Å): 4.927 4.927 4.927
angles (deg): 60.00 60.00 60.00
Element x y z (fractional)
Rh (0.750, 0.750, 0.750)
Yb (0.500, 0.500, 0.500)
Li (0.250, 0.250, 0.250)
Yb (0.000, 0.000, 0.000)

Output
ΔE_f	-1.46	eV per formula unit
density	8.95	Mg/m³


[5]
VASP calculation (PBE) on a relaxed Li12Zn7Rh crystal.

a b c (Å): 7.045 7.045 7.045
angles (deg): 102.27 102.27 102.27
Element x y z (fractional)
Li (0.323, 0.079, 0.326)
Li (0.764, 0.237, 0.499)
Zn (0.683, 0.088, 0.087)
Li (0.499, 0.764, 0.237)
Li (0.674, 0.677, 0.921)
Rh (0.000, 0.000, 0.000)
Zn (0.088, 0.087, 0.683)
Zn (0.912, 0.913, 0.317)
Zn (0.317, 0.912, 0.913)
Li (0.763, 0.501, 0.236)
Li (0.326, 0.323, 0.079)
Li (0.677, 0.921, 0.674)
Zn (0.913, 0.317, 0.912)
Li (0.237, 0.499, 0.764)
Li (0.501, 0.236, 0.763)
Zn (0.500, 0.500, 0.500)
Li (0.079, 0.326, 0.323)
Li (0.236, 0.763, 0.501)
Zn (0.087, 0.683, 0.088)
Li (0.921, 0.674, 0.677)

Output
ΔE_f	-3.06	eV per formula unit
density	3.33	Mg/m³


[6]
VASP calculation (PBE) on a relaxed Li2Zn7Rh3 crystal.

a b c (Å): 2.961 4.314 14.270
angles (deg): 98.69 90.00 90.00
Element x y z (fractional)
Li (0.000, 0.828, 0.656)
Zn (0.000, 0.574, 0.148)
Li (0.000, 0.172, 0.344)
Zn (0.000, 0.000, 0.000)
Rh (0.500, 0.648, 0.296)
Zn (0.500, 0.094, 0.188)
Zn (0.500, 0.906, 0.812)
Zn (0.000, 0.723, 0.446)
Zn (0.000, 0.426, 0.852)
Rh (0.500, 0.500, 0.000)
Rh (0.500, 0.352, 0.704)
Zn (0.000, 0.277, 0.554)

Output
ΔE_f	-2.81	eV per formula unit
density	7.19	Mg/m³


[7]
VASP calculation (PBE) on a relaxed Li6ZnRh crystal.

a b c (Å): 7.073 7.062 4.945
angles (deg): 44.44 44.21 59.47
Element x y z (fractional)
Li (0.001, 0.497, 0.743)
Rh (0.000, 0.000, 0.000)
Zn (0.500, 0.500, 0.500)
Li (0.999, 0.503, 0.257)
Li (0.759, 0.000, 0.743)
Li (0.499, 0.759, 0.741)
Li (0.501, 0.241, 0.259)
Li (0.241, 0.000, 0.257)

Output
ΔE_f	-0.52	eV per formula unit
density	2.89	Mg/m³


[8]
VASP calculation (PBE) on a relaxed Li4ZnRh crystal.

a b c (Å): 4.348 5.032 5.142
angles (deg): 119.68 90.00 115.60
Element x y z (fractional)
Rh (0.000, 0.000, 0.000)
Li (0.663, 0.327, 0.362)
Li (0.331, 0.662, 0.120)
Zn (0.000, 0.000, 0.500)
Li (0.669, 0.338, 0.880)
Li (0.337, 0.673, 0.638)

Output
ΔE_f	-1.17	eV per formula unit
density	3.84	Mg/m³


[9]
VASP calculation (PBE) on a relaxed Li4Zn5Rh2 crystal.

a b c (Å): 5.183 5.183 6.769
angles (deg): 90.31 90.31 61.44
Element x y z (fractional)
Zn (0.361, 0.869, 0.186)
Zn (0.000, 0.000, 0.500)
Zn (0.869, 0.361, 0.186)
Rh (0.138, 0.138, 0.838)
Li (0.320, 0.320, 0.487)
Zn (0.639, 0.131, 0.814)
Li (0.680, 0.680, 0.513)
Zn (0.131, 0.639, 0.814)
Li (0.635, 0.635, 0.871)
Rh (0.862, 0.862, 0.162)
Li (0.365, 0.365, 0.129)

Output
ΔE_f	-3.19	eV per formula unit
density	5.83	Mg/m³


[10]
VASP calculation (PBE) on a relaxed Li3ZnRh crystal.

a b c (Å): 4.622 4.622 4.622
angles (deg): 90.00 90.00 90.00
Element x y z (fractional)
Li (0.000, 0.000, 0.500)
Li (0.000, 0.500, 0.000)
Zn (0.500, 0.500, 0.500)
Rh (0.000, 0.000, 0.000)
Li (0.500, 0.000, 0.000)

Output
ΔE_f	1.59	eV per formula unit
density	3.18	Mg/m³


[11]
VASP calculation (PBE) on a relaxed Li2ZnRh crystal.

a b c (Å): 6.788 6.788 5.411
angles (deg): 51.15 51.15 90.00
Element x y z (fractional)
Rh (0.750, 0.250, 0.500)
Li (0.626, 0.125, 0.250)
Li (0.875, 0.876, 0.750)
Zn (0.250, 0.750, 0.500)
Rh (0.000, 0.000, 0.000)
Li (0.375, 0.374, 0.750)
Zn (0.500, 0.500, 0.000)
Li (0.124, 0.625, 0.250)

Output
ΔE_f	-0.08	eV per formula unit
density	5.26	Mg/m³


[12]
VASP calculation (PBE) on a relaxed Li2Zn8Rh crystal.

a b c (Å): 4.149 6.443 6.893
angles (deg): 114.66 107.51 90.00
Element x y z (fractional)
Li (0.775, 0.346, 0.549)
Zn (0.399, 0.551, 0.798)
Zn (0.328, 0.106, 0.656)
Zn (0.144, 0.168, 0.287)
Zn (0.971, 0.278, 0.941)
Zn (0.601, 0.449, 0.202)
Zn (0.029, 0.722, 0.059)
Zn (0.856, 0.832, 0.713)
Li (0.225, 0.654, 0.451)
Rh (0.500, 0.000, 0.000)
Zn (0.672, 0.894, 0.344)

Output
ΔE_f	-2.18	eV per formula unit
density	6.73	Mg/m³


Look up the density of the third one. 6.59 Mg/m³


density of number 7 (Li6ZnRh)? 2.89 Mg/m³


Among the records above, which one has the highest density? LiYb2Rh


Which of these has the highest density? LiYb2Rh